This record from the Alexandria database describes a crystal of TeAu3F relaxed with PBEsol. The functional is meta-GGA SCAN.

Cell: 4.5821 4.5821 4.5821 Å, 90.00 90.00 90.00°
Last column: nearest neighbours and their distance in Å.
Atoms (fractional coordinates):
Te 0.0000 0.0000 0.0000  12 Au 3.24
Au 0.0000 0.5000 0.5000  2 F 2.29
Au 0.5000 0.0000 0.5000  2 F 2.29
Au 0.5000 0.5000 0.0000  2 F 2.29
F 0.5000 0.5000 0.5000  6 Au 2.29

Computed properties:
- Calculated total energy: -49.3248 eV per atom

---

This record from the Alexandria database describes a crystal of Ti2Sb relaxed with PBEsol. The functional is meta-GGA SCAN.

Cell: 7.8641 7.8641 7.8641 Å, 151.63 151.63 40.55°
Last column: nearest neighbours and their distance in Å.
Atoms (fractional coordinates):
Ti 0.0000 0.5000 0.5000  4 Ti 2.73, 4 Sb 2.81
Ti 0.1741 0.1741 0.0000  5 Sb 2.76-2.77
Ti 0.5000 0.0000 0.5000  4 Ti 2.73, 4 Sb 2.81
Ti 0.8259 0.8259 0.0000  5 Sb 2.76-2.77
Sb 0.3610 0.3610 0.0000  9 Ti 2.76-2.81
Sb 0.6390 0.6390 0.0000  9 Ti 2.76-2.81

Computed properties:
- Calculated total energy: -23.6481 eV per atom

---

This record from the Alexandria database describes a crystal of Ba3PbW relaxed with PBEsol. The functional is meta-GGA SCAN.

Cell: 6.5352 6.5352 6.5352 Å, 90.00 90.00 90.00°
Last column: nearest neighbours and their distance in Å.
Atoms (fractional coordinates):
Ba 0.0000 0.0000 0.5000  2 Pb 3.27
Ba 0.0000 0.5000 0.0000  2 Pb 3.27
Ba 0.5000 0.0000 0.0000  2 Pb 3.27
Pb 0.0000 0.0000 0.0000  6 Ba 3.27
W 0.5000 0.5000 0.5000  12 Ba 4.62

Computed properties:
- Calculated total energy: -51.7680 eV per atom
- Formation energy: 1.06 eV per atom

---

This record from the Alexandria database describes a crystal of Sr2NiHg relaxed with PBEsol. The functional is meta-GGA SCAN.

Cell: 6.0338 6.0338 6.0338 Å, 136.04 136.04 63.92°
Last column: nearest neighbours and their distance in Å.
Atoms (fractional coordinates):
Sr 0.0000 0.0000 0.0000  4 Hg 3.19, 4 Sr 3.41, 4 Ni 3.41
Sr 0.7500 0.2500 0.5000  4 Ni 3.19, 4 Hg 3.41, 4 Sr 3.41
Ni 0.2500 0.7500 0.5000  8 Sr 3.19-3.41, 4 Hg 3.41
Hg 0.5000 0.5000 0.0000  8 Sr 3.19-3.41, 4 Ni 3.41

Computed properties:
- Calculated total energy: -32.1784 eV per atom
- Formation energy: 0.04 eV per atom

---

This record from the Alexandria database describes a crystal of LuNi2B2C relaxed with PBEsol. The functional is meta-GGA SCAN.

Cell: 5.7544 5.7544 5.7544 Å, 145.37 145.37 49.78°
Last column: nearest neighbours and their distance in Å.
Atoms (fractional coordinates):
Lu 0.0000 0.0000 0.0000  4 C 2.42
Ni 0.2500 0.7500 0.5000  4 B 2.05
Ni 0.7500 0.2500 0.5000  4 B 2.05
B 0.3574 0.3574 0.0000  1 C 1.49
B 0.6426 0.6426 0.0000  1 C 1.49
C 0.5000 0.5000 0.0000  2 B 1.49

Computed properties:
- Calculated total energy: -19.3599 eV per atom
- Formation energy: -0.58 eV per atom

---

This record from the Alexandria database describes a crystal of CaPt2Br relaxed with PBEsol. The functional is meta-GGA SCAN.

Cell: 3.0590 4.4091 5.5499 Å, 90.00 90.00 90.00°
Last column: nearest neighbours and their distance in Å.
Atoms (fractional coordinates):
Ca 0.0000 0.0000 0.0000  2 Br 2.77, 8 Pt 3.01, 2 Ca 3.06
Pt 0.5000 0.5000 0.2442  2 Pt 2.71-2.84, 4 Ca 3.01, 4 Br 3.04
Pt 0.5000 0.5000 0.7558  2 Pt 2.71-2.84, 4 Ca 3.01, 4 Br 3.04
Br 0.0000 0.0000 0.5000  2 Ca 2.77, 8 Pt 3.04, 2 Br 3.06

Computed properties:
- Calculated total energy: -42.6153 eV per atom
- Energy above the lowest structure with this stoichiometry: 0.253 eV per atom

---

This record from the Alexandria database describes a crystal of SbOs2Br relaxed with PBEsol. The functional is meta-GGA SCAN.

Cell: 6.3067 6.3067 6.3067 Å, 153.14 139.86 48.96°
Last column: nearest neighbours and their distance in Å.
Atoms (fractional coordinates):
Sb 0.0000 0.0000 0.0000  6 Os 2.82-2.90, 2 Sb 2.93
Os 0.5916 0.5916 0.0000  4 Os 2.63-2.93, 4 Sb 2.82
Os 0.7818 0.2818 0.5000  4 Br 2.61, 2 Os 2.63, 2 Sb 2.90
Br 0.2838 0.7838 0.5000  4 Os 2.61

Computed properties:
- Calculated total energy: -49.0589 eV per atom
- Energy above the lowest structure with this stoichiometry: 0.000 eV per atom

---

This record from the Alexandria database describes a crystal of Cu2AgSb relaxed with PBEsol. The functional is meta-GGA SCAN.

Cell: 3.2265 3.6521 5.4422 Å, 90.00 90.00 90.00°
Last column: nearest neighbours and their distance in Å.
Atoms (fractional coordinates):
Cu 0.0000 0.0000 0.0000  2 Sb 2.60-2.85, 4 Ag 2.73, 4 Cu 2.76
Cu 0.5000 0.5000 0.2394  1 Ag 2.53, 4 Sb 2.76, 4 Cu 2.76
Ag 0.5000 0.5000 0.7749  5 Cu 2.53-2.73
Sb 0.0000 0.0000 0.4771  6 Cu 2.60-2.85

Computed properties:
- Calculated total energy: -24.5464 eV per atom

---

This record from the Alexandria database describes a crystal of FeRh2W relaxed with PBEsol. The functional is meta-GGA SCAN.

Cell: 3.7159 3.7159 3.7733 Å, 90.00 90.00 90.00°
Last column: nearest neighbours and their distance in Å.
Atoms (fractional coordinates):
Fe 0.0000 0.0000 0.0000  4 W 2.63, 8 Rh 2.65
Rh 0.0000 0.5000 0.5000  4 Rh 2.63, 4 W 2.65, 4 Fe 2.65
Rh 0.5000 0.0000 0.5000  4 Rh 2.63, 4 W 2.65, 4 Fe 2.65
W 0.5000 0.5000 0.0000  4 Fe 2.63, 8 Rh 2.65

Computed properties:
- Calculated total energy: -38.9706 eV per atom
- Formation energy: -0.13 eV per atom
- Energy above the lowest structure with this stoichiometry: 0.087 eV per atom

---

This record from the Alexandria database describes a crystal of Ni2HgAs2 relaxed with PBEsol. The functional is meta-GGA SCAN.

Cell: 5.5623 5.5623 5.5623 Å, 136.36 136.36 63.42°
Last column: nearest neighbours and their distance in Å.
Atoms (fractional coordinates):
Ni 0.2500 0.7500 0.5000  4 As 2.34
Ni 0.7500 0.2500 0.5000  4 As 2.34
Hg 0.0000 0.0000 0.0000  8 Ni 3.14, 10 As 3.19-3.47
As 0.3664 0.3664 0.0000  4 Ni 2.34, 1 As 2.53
As 0.6336 0.6336 0.0000  4 Ni 2.34, 1 As 2.53

Computed properties:
- Calculated total energy: -28.1717 eV per atom
- Formation energy: 0.01 eV per atom

---

This record from the Alexandria database describes a crystal of HfBeZnBi2 relaxed with PBEsol. The functional is meta-GGA SCAN.

Cell: 5.5045 5.5045 5.2203 Å, 90.00 90.00 90.00°
Last column: nearest neighbours and their distance in Å.
Atoms (fractional coordinates):
Hf 0.0000 0.0000 0.0000  2 Zn 2.61, 4 Bi 2.75
Be 0.5000 0.5000 0.5000  8 Bi 3.79, 4 Zn 3.89
Zn 0.0000 0.0000 0.5000  2 Hf 2.61
Bi 0.0000 0.5000 0.0000  2 Hf 2.75
Bi 0.5000 0.0000 0.0000  2 Hf 2.75

Computed properties:
- Calculated total energy: -46.5454 eV per atom
- Formation energy: 0.99 eV per atom

---

This record from the Alexandria database describes a crystal of Ca2CrPb relaxed with PBEsol. The functional is meta-GGA SCAN.

Cell: 4.8373 4.8373 4.4322 Å, 90.00 90.00 90.00°
Last column: nearest neighbours and their distance in Å.
Atoms (fractional coordinates):
Ca 0.0000 0.5000 0.0000  4 Cr 3.28, 4 Pb 3.28, 4 Ca 3.42
Ca 0.5000 0.0000 0.0000  4 Cr 3.28, 4 Pb 3.28, 4 Ca 3.42
Cr 0.0000 0.0000 0.5000  8 Ca 3.28, 4 Pb 3.42
Pb 0.5000 0.5000 0.5000  8 Ca 3.28, 4 Cr 3.42

Computed properties:
- Calculated total energy: -28.6006 eV per atom
- Formation energy: -0.23 eV per atom